Version 1
An optimized crystal structure of SrBi3Pb. Source: Alexandria via LeMat-Bulk, functional PBE.

Structure (CIF):
```
data_SrBi3Pb
_cell_length_a 15.521
_cell_length_b 6.496
_cell_length_c 6.864
_cell_angle_alpha 90.00
_cell_angle_beta 90.00
_cell_angle_gamma 90.00
_space_group_name_H-M_alt 'P b c m'
_space_group_IT_number 57
loop_
_space_group_symop_operation_xyz
'x,y,z'
'-x,-y,-z'
'-x,-y,z+1/2'
'x,y,-z+1/2'
'x,-y+1/2,-z'
'-x,y+1/2,z'
'-x,y+1/2,-z+1/2'
'x,-y+1/2,z+1/2'
loop_
_atom_site_label
_atom_site_type_symbol
_atom_site_fract_x
_atom_site_fract_y
_atom_site_fract_z
Sr1 Sr 0.176 0.002 0.250
Bi1 Bi 0.002 0.250 0.000
Bi2 Bi 0.235 0.508 0.250
Bi3 Bi 0.405 0.728 0.750
Pb1 Pb 0.380 0.250 0.000
```

---

Version 2
An optimized crystal structure of SrBi3Pb. Source: Alexandria via LeMat-Bulk, functional PBE.

Structure (CIF):
```
data_SrBi3Pb
_cell_length_a 8.5400
_cell_length_b 8.5400
_cell_length_c 17.7617
_cell_angle_alpha 90.00
_cell_angle_beta 90.00
_cell_angle_gamma 120.00
_space_group_name_H-M_alt 'R 3 c'
_space_group_IT_number 161
_space_group_name_Hall 'R 3 -2"c'
loop_
_atom_site_label
_atom_site_type_symbol
_atom_site_fract_x
_atom_site_fract_y
_atom_site_fract_z
Sr1 Sr 0.0000 0.0000 0.0000
Bi1 Bi 0.1274 0.4239 0.3340
Pb1 Pb 0.0000 0.0000 0.3119
```

---

Version 3
An optimized crystal structure of SrBi3Pb. Source: Alexandria via LeMat-Bulk, functional PBE.

Structure (CIF):
```
data_SrBi3Pb
_cell_length_a 6.058
_cell_length_b 6.058
_cell_length_c 6.058
_cell_angle_alpha 90.00
_cell_angle_beta 90.00
_cell_angle_gamma 90.00
_space_group_name_H-M_alt 'P m -3 m'
_space_group_IT_number 221
_space_group_name_Hall '-P 4 2 3'
loop_
_atom_site_label
_atom_site_type_symbol
_atom_site_fract_x
_atom_site_fract_y
_atom_site_fract_z
Sr1 Sr 0.000 0.000 0.000
Bi1 Bi 0.000 0.000 0.500
Pb1 Pb 0.500 0.500 0.500
```

---

Result of the stability comparison: version 1 is the most stable of them.

---

Version 1
An optimized crystal structure of Sr2BiPb. Source: Alexandria via LeMat-Bulk, functional PBE.

Structure (CIF):
```
data_Sr2BiPb
_cell_length_a 8.290
_cell_length_b 8.290
_cell_length_c 8.290
_cell_angle_alpha 90.00
_cell_angle_beta 90.00
_cell_angle_gamma 90.00
_space_group_name_H-M_alt 'F m -3 m'
_space_group_IT_number 225
_space_group_name_Hall '-F 4 2 3'
loop_
_atom_site_label
_atom_site_type_symbol
_atom_site_fract_x
_atom_site_fract_y
_atom_site_fract_z
Sr1 Sr 0.250 0.250 0.250
Bi1 Bi 0.000 0.000 0.000
Pb1 Pb 0.000 0.000 0.500
```

---

Version 2
An optimized crystal structure of Sr2BiPb. Source: Alexandria via LeMat-Bulk, functional PBE.

Structure (CIF):
```
data_Sr2BiPb
_cell_length_a 5.491
_cell_length_b 5.491
_cell_length_c 4.648
_cell_angle_alpha 90.00
_cell_angle_beta 90.00
_cell_angle_gamma 90.00
_space_group_name_H-M_alt 'P 4/m m m'
_space_group_IT_number 123
_space_group_name_Hall '-P 4 2'
loop_
_atom_site_label
_atom_site_type_symbol
_atom_site_fract_x
_atom_site_fract_y
_atom_site_fract_z
Sr1 Sr 0.000 0.500 0.000
Bi1 Bi 0.000 0.000 0.500
Pb1 Pb 0.500 0.500 0.500
```

---

Version 3
An optimized crystal structure of Sr2BiPb. Source: Alexandria via LeMat-Bulk, functional PBE.

Structure (CIF):
```
data_Sr2BiPb
_cell_length_a 9.116
_cell_length_b 9.116
_cell_length_c 7.420
_cell_angle_alpha 90.00
_cell_angle_beta 90.00
_cell_angle_gamma 90.00
_space_group_name_H-M_alt 'I -4 2 d'
_space_group_IT_number 122
_space_group_name_Hall 'I -4 2bw'
loop_
_atom_site_label
_atom_site_type_symbol
_atom_site_fract_x
_atom_site_fract_y
_atom_site_fract_z
Sr1 Sr 0.242 0.750 0.125
Bi1 Bi 0.000 0.000 0.000
Pb1 Pb 0.000 0.000 0.500
```

---

Result of the stability comparison: version 2 is the most stable of them.

---

Version 1
An optimized crystal structure of SrBiPb3. Source: Alexandria via LeMat-Bulk, functional PBE.

Structure (CIF):
```
data_SrBiPb3
_cell_length_a 6.040
_cell_length_b 6.040
_cell_length_c 6.040
_cell_angle_alpha 90.00
_cell_angle_beta 90.00
_cell_angle_gamma 90.00
_space_group_name_H-M_alt 'P m -3 m'
_space_group_IT_number 221
_space_group_name_Hall '-P 4 2 3'
loop_
_atom_site_label
_atom_site_type_symbol
_atom_site_fract_x
_atom_site_fract_y
_atom_site_fract_z
Sr1 Sr 0.000 0.000 0.000
Bi1 Bi 0.500 0.500 0.500
Pb1 Pb 0.000 0.000 0.500
```

---

Version 2
An optimized crystal structure of SrBiPb3. Source: Alexandria via LeMat-Bulk, functional PBE.

Structure (CIF):
```
data_SrBiPb3
_cell_length_a 6.045
_cell_length_b 6.045
_cell_length_c 6.045
_cell_angle_alpha 90.00
_cell_angle_beta 90.00
_cell_angle_gamma 90.00
_space_group_name_H-M_alt 'P m -3 m'
_space_group_IT_number 221
_space_group_name_Hall '-P 4 2 3'
loop_
_atom_site_label
_atom_site_type_symbol
_atom_site_fract_x
_atom_site_fract_y
_atom_site_fract_z
Sr1 Sr 0.000 0.000 0.000
Bi1 Bi 0.500 0.500 0.500
Pb1 Pb 0.000 0.500 0.500
```

---

Version 3
An optimized crystal structure of SrBiPb3. Source: Alexandria via LeMat-Bulk, functional PBE.

Structure (CIF):
```
data_SrBiPb3
_cell_length_a 6.067
_cell_length_b 6.067
_cell_length_c 23.457
_cell_angle_alpha 90.00
_cell_angle_beta 90.00
_cell_angle_gamma 90.00
_space_group_name_H-M_alt 'I -4 m 2'
_space_group_IT_number 119
_space_group_name_Hall 'I -4 -2'
loop_
_atom_site_label
_atom_site_type_symbol
_atom_site_fract_x
_atom_site_fract_y
_atom_site_fract_z
Sr1 Sr 0.000 0.000 0.181
Bi1 Bi 0.000 0.000 0.500
Bi2 Bi 0.000 0.500 0.750
Pb1 Pb 0.000 0.250 0.622
Pb2 Pb 0.000 0.500 0.077
```

---

Result of the stability comparison: version 3 is the most stable of them.

---

Version 1
An optimized crystal structure of Ta2BiPb. Source: Alexandria via LeMat-Bulk, functional PBE.

Structure (CIF):
```
data_Ta2BiPb
_cell_length_a 4.308
_cell_length_b 4.308
_cell_length_c 20.852
_cell_angle_alpha 90.00
_cell_angle_beta 90.00
_cell_angle_gamma 90.00
_space_group_name_H-M_alt 'I -4 2 d'
_space_group_IT_number 122
_space_group_name_Hall 'I -4 2bw'
loop_
_atom_site_label
_atom_site_type_symbol
_atom_site_fract_x
_atom_site_fract_y
_atom_site_fract_z
Ta1 Ta 0.233 0.250 0.125
Bi1 Bi 0.000 0.000 0.500
Pb1 Pb 0.000 0.000 0.000
```

---

Version 2
An optimized crystal structure of Ta2BiPb. Source: Alexandria via LeMat-Bulk, functional PBE.

Structure (CIF):
```
data_Ta2BiPb
_cell_length_a 7.002
_cell_length_b 7.002
_cell_length_c 7.002
_cell_angle_alpha 90.00
_cell_angle_beta 90.00
_cell_angle_gamma 90.00
_space_group_name_H-M_alt 'F m -3 m'
_space_group_IT_number 225
_space_group_name_Hall '-F 4 2 3'
loop_
_atom_site_label
_atom_site_type_symbol
_atom_site_fract_x
_atom_site_fract_y
_atom_site_fract_z
Ta1 Ta 0.250 0.250 0.250
Bi1 Bi 0.000 0.000 0.000
Pb1 Pb 0.000 0.000 0.500
```

---

Result of the stability comparison: version 2 is the most stable of them.

---

Version 1
An optimized crystal structure of TaBi3Pb. Source: Alexandria via LeMat-Bulk, functional PBE.

Structure (CIF):
```
data_TaBi3Pb
_cell_length_a 5.734
_cell_length_b 5.734
_cell_length_c 5.734
_cell_angle_alpha 90.00
_cell_angle_beta 90.00
_cell_angle_gamma 90.00
_space_group_name_H-M_alt 'P m -3 m'
_space_group_IT_number 221
_space_group_name_Hall '-P 4 2 3'
loop_
_atom_site_label
_atom_site_type_symbol
_atom_site_fract_x
_atom_site_fract_y
_atom_site_fract_z
Ta1 Ta 0.000 0.000 0.000
Bi1 Bi 0.000 0.500 0.500
Pb1 Pb 0.500 0.500 0.500
```

---

Version 2
An optimized crystal structure of TaBi3Pb. Source: Alexandria via LeMat-Bulk, functional PBE.

Structure (CIF):
```
data_TaBi3Pb
_cell_length_a 5.548
_cell_length_b 5.548
_cell_length_c 5.548
_cell_angle_alpha 90.00
_cell_angle_beta 90.00
_cell_angle_gamma 90.00
_space_group_name_H-M_alt 'P m -3 m'
_space_group_IT_number 221
_space_group_name_Hall '-P 4 2 3'
loop_
_atom_site_label
_atom_site_type_symbol
_atom_site_fract_x
_atom_site_fract_y
_atom_site_fract_z
Ta1 Ta 0.000 0.000 0.000
Bi1 Bi 0.000 0.000 0.500
Pb1 Pb 0.500 0.500 0.500
```

---

Result of the stability comparison: version 2 is the most stable of them.